[1]
Here is an optimized crystal structure of KSr2Pb from Alexandria via LeMat-Bulk. Energies are from PBE-GGA.

**Crystal system**: trigonal
**VASP energy**: -2.245 eV/atom

Cell: 5.5492 5.5492 23.3875 Å, 90.00 90.00 120.00°
Space group R3m (No. 160, hexagonal axes)
Inequivalent atoms, fractional coordinates:
K1 0.0000 0.0000 0.0000
Sr1 0.0000 0.0000 0.5544
Sr2 0.0000 0.0000 0.7835
Pb1 0.0000 0.0000 0.1710

=====

[2]
Here is an optimized crystal structure of K2SrPb from Alexandria via LeMat-Bulk. Energies are from PBE-GGA.

**Crystal system**: tetragonal
**VASP energy**: -2.060 eV/atom

Cell: 4.270 4.270 11.212 Å, 90.00 90.00 90.00°
Space group P4mm (No. 99)
Inequivalent atoms, fractional coordinates:
K1 0.000 0.000 0.000
K2 0.500 0.500 0.336
Sr1 0.500 0.500 0.691
Pb1 0.000 0.000 0.538